This record from the Alexandria database describes an optimized crystal structure of KSrOsO6. The functional is PBE-GGA.

a b c (Å): 5.971 6.003 4.944
angles (deg): 90.45 90.89 60.17
Each line ends with the local moment (μB).
Fractional coordinates of all 9 atoms:
1 K 0.670 0.661 0.501  0.00
2 O 0.590 0.098 0.262  0.00
3 O 0.282 0.617 0.307  0.46
4 O 0.091 0.299 0.290  0.00
5 O 0.102 0.618 0.692  0.46
6 O 0.610 0.298 0.709  0.00
7 O 0.311 0.099 0.738  0.00
8 Sr 0.998 0.003 0.000  0.00
9 Os 0.346 0.308 0.500  -0.04

SG: No. 1
E_form (uncorrected), eV/atom: -1.402
Total moment, μB/cell: 1.08
Total energy, eV for the cell shown: -56.380
Theoretical density, kg/m3: 4460



This record from the Alexandria database describes an optimized crystal structure of KSr2OsO6. The functional is PBE-GGA.

a b c (Å): 6.250 6.242 5.982
angles (deg): 58.33 58.32 59.93
Each line ends with the local moment (μB).
Fractional coordinates of all 10 atoms:
1 Sr 0.086 0.087 0.740  0.01
2 Sr 0.546 0.545 0.363  0.01
3 O 0.634 0.137 0.817  0.04
4 O 0.999 0.496 0.286  0.04
5 O 0.412 0.634 0.814  0.04
6 O 0.137 0.411 0.819  0.04
7 O 0.220 0.998 0.289  0.04
8 O 0.495 0.222 0.285  0.04
9 Os 0.316 0.316 0.052  0.66
10 K 0.816 0.816 0.552  0.00

SG: No. 2
E_form (uncorrected), eV/atom: -1.903
Total moment, μB/cell: 1.04
Total energy, eV for the cell shown: -64.468
Theoretical density, kg/m3: 5175